Entry from Alexandria: a geometry-optimized YTc2Sb structure (PBE-GGA).

ΔE_f (raw): -11 meV/atom
space-group type: Imm2

```
YTc2Sb
1.0
-1.671 2.277 4.918
1.671 -2.277 4.918
1.671 2.277 -4.918
Y Tc Sb
1 2 1
direct
0.000 0.000 0.000
0.505 0.505 0.000
0.735 0.235 0.500
0.274 0.774 0.500
```

***

Entry from Alexandria: a geometry-optimized La4Pm2Y7 structure (PBE-GGA).

energy of formation from the pure elements: 0.28 eV/f.u.
space-group type: P-1

```
La4Pm2Y7
1.0
6.292 0.000 0.000
1.026 8.070 0.000
1.022 3.938 8.726
La Pm Y
4 2 7
direct
0.038 0.424 0.348
0.193 0.116 0.732
0.807 0.884 0.268
0.962 0.576 0.652
0.346 0.807 0.115
0.654 0.193 0.885
0.118 0.271 0.038
0.270 0.963 0.422
0.424 0.654 0.809
0.500 0.500 0.500
0.576 0.346 0.191
0.730 0.037 0.578
0.882 0.729 0.962
```

***

Entry from Alexandria: a geometry-optimized SrPr5Tl5 structure (PBE-GGA).

energy of formation from the pure elements: -1.55 eV/f.u.
space-group type: C2/m

```
SrPr5Tl5
1.0
8.298 -3.086 0.000
8.298 3.086 0.000
-1.325 0.000 7.435
Sr Pr Tl
1 5 5
direct
0.000 0.000 0.000
0.000 0.000 0.500
0.322 0.322 0.098
0.368 0.368 0.601
0.632 0.632 0.399
0.678 0.678 0.902
0.172 0.172 0.302
0.180 0.180 0.731
0.500 0.500 0.000
0.820 0.820 0.269
0.828 0.828 0.698
```

***

Entry from Alexandria: a geometry-optimized Y2ZnN2 structure (PBE-GGA).

ΔE_f (raw): -400 meV/atom
space-group type: P4/mbm

```
Y2ZnN2
1.0
7.012 0.000 0.000
0.000 7.012 0.000
0.000 0.000 3.148
Y Zn N
4 2 4
direct
0.152 0.348 0.000
0.348 0.848 0.000
0.652 0.152 0.000
0.848 0.652 0.000
0.000 0.000 0.000
0.500 0.500 0.000
0.160 0.660 0.500
0.340 0.160 0.500
0.660 0.840 0.500
0.840 0.340 0.500
```

***

Entry from Alexandria: a geometry-optimized ScTiO2F structure (PBE-GGA).

ΔE_f (raw): -2468 meV/atom
space-group type: P4/mmm

```
ScTiO2F
1.0
3.926 0.000 0.000
0.000 3.926 0.000
0.000 0.000 3.933
Sc Ti O F
1 1 2 1
direct
0.000 0.000 0.000
0.500 0.500 0.500
0.000 0.500 0.500
0.500 0.000 0.500
0.500 0.500 0.000
```

***

Entry from Alexandria: a geometry-optimized SrHIO2 structure (PBE-GGA).

energy above the lowest structure with this stoichiometry: 0.000 eV per atom
space-group type: P4/mmm

```
SrHIO2
1.0
4.611 0.000 0.000
0.000 4.611 0.000
0.000 0.000 3.567
Sr H I O
1 1 1 2
direct
0.000 0.000 0.000
0.500 0.500 0.500
0.500 0.500 0.000
0.000 0.500 0.500
0.500 0.000 0.500
```